Here is a relaxed structure of CsNpRuO6 from the Alexandria database. Energies are from GGA-PBE.

a b c (Å): 5.415 5.415 6.837
angles (deg): 90.00 90.00 60.00
Atoms (fractional coordinates):
O1 0.379 0.992 0.661
O2 0.992 0.379 0.339
O3 0.379 0.629 0.339
O4 0.629 0.992 0.339
O5 0.629 0.379 0.661
O6 0.992 0.629 0.661
Ru1 0.667 0.667 0.500
Np1 0.333 0.333 0.500
Cs1 0.000 0.000 0.000

Calculated values
VASP energy	-7.769	eV/atom
ΔE_f (raw)	-1.900	eV/atom
spin magnetization	2.87	μB/cell

---

Here is a relaxed structure of CsNpS2O from the Alexandria database. Energies are from GGA-PBE.

a b c (Å): 4.103 8.168 9.297
angles (deg): 106.88 90.00 90.00
Atoms (fractional coordinates):
O1 0.750 0.412 0.222
O2 0.250 0.588 0.778
S1 0.750 0.836 0.037
S2 0.250 0.155 0.341
S3 0.250 0.164 0.963
S4 0.750 0.845 0.659
Np1 0.250 0.826 0.835
Np2 0.750 0.174 0.165
Cs1 0.750 0.306 0.685
Cs2 0.250 0.694 0.315

Calculated values
VASP energy	-7.122	eV/atom
ΔE_f (raw)	-1.720	eV/atom
spin magnetization	4.00	μB/cell

---

Here is a relaxed structure of CsNpSO2 from the Alexandria database. Energies are from GGA-PBE.

a b c (Å): 4.408 4.408 5.347
angles (deg): 90.00 90.00 90.00
Atoms (fractional coordinates):
Cs1 0.500 0.500 0.500
S1 0.000 0.000 0.500
O1 0.500 0.000 0.000
O2 0.000 0.500 0.000
Np1 0.000 0.000 0.000

Calculated values
VASP energy	-7.584	eV/atom
ΔE_f (raw)	-2.017	eV/atom
spin magnetization	2.00	μB/cell

---

Here is a relaxed structure of Cs2NpS2O10 from the Alexandria database. Energies are from GGA-PBE.

a b c (Å): 9.191 11.099 12.008
angles (deg): 110.29 90.00 90.00
Atoms (fractional coordinates):
O1 0.887 0.151 0.029
O2 0.709 0.160 0.181
O3 0.613 0.651 0.529
O4 0.113 0.849 0.971
O5 0.935 0.988 0.777
O6 0.435 0.512 0.723
O7 0.043 0.209 0.681
O8 0.301 0.580 0.016
O9 0.355 0.941 0.030
O10 0.815 0.953 0.059
O11 0.913 0.703 0.055
O12 0.413 0.797 0.445
O13 0.791 0.660 0.681
O14 0.855 0.559 0.470
O15 0.387 0.349 0.471
O16 0.543 0.291 0.819
O17 0.457 0.709 0.181
O18 0.199 0.080 0.516
O19 0.699 0.420 0.984
O20 0.565 0.488 0.277
O21 0.795 0.231 0.828
O22 0.272 0.580 0.221
O23 0.185 0.047 0.941
O24 0.065 0.012 0.223
O25 0.705 0.731 0.328
O26 0.685 0.453 0.559
O27 0.587 0.203 0.555
O28 0.801 0.920 0.484
O29 0.645 0.059 0.970
O30 0.295 0.269 0.672
O31 0.209 0.340 0.319
O32 0.145 0.441 0.530
O33 0.728 0.420 0.779
O34 0.772 0.920 0.279
O35 0.291 0.840 0.819
O36 0.205 0.769 0.172
O37 0.315 0.547 0.441
O38 0.228 0.080 0.721
O39 0.087 0.297 0.945
O40 0.957 0.791 0.319
S1 0.242 0.917 0.939
S2 0.308 0.656 0.142
S3 0.692 0.344 0.858
S4 0.742 0.583 0.561
S5 0.808 0.844 0.358
S6 0.258 0.417 0.439
S7 0.758 0.083 0.061
S8 0.192 0.156 0.642
Np1 0.512 0.358 0.640
Np2 0.012 0.142 0.860
Np3 0.488 0.642 0.360
Np4 0.988 0.858 0.140
Cs1 0.098 0.782 0.567
Cs2 0.582 0.969 0.698
Cs3 0.598 0.718 0.933
Cs4 0.902 0.218 0.433
Cs5 0.402 0.282 0.067
Cs6 0.418 0.031 0.302
Cs7 0.918 0.469 0.198
Cs8 0.082 0.531 0.802

Calculated values
VASP energy	-6.848	eV/atom
ΔE_f (raw)	-2.016	eV/atom
spin magnetization	4.00	μB/cell